1.
# Tc3GeSb

Crystalline Tc3GeSb at its relaxed geometry (PBE-GGA, Alexandria via LeMat-Bulk).

As for the raw formation energy: 1.879 eV per atom. Its crystal system is cubic. The energy above the most stable polymorph in this dataset is 782.8 meV/atom.

a = 4.868 Å, b = 4.868 Å, c = 4.868 Å
α = 90.00°, β = 90.00°, γ = 90.00°
Fractional coordinates of all 5 atoms:
Tc: 0.000 0.000 0.500
Tc: 0.000 0.500 0.000
Tc: 0.500 0.000 0.000
Ge: 0.500 0.500 0.500
Sb: 0.000 0.000 0.000

---

2.
# TcGe2Sb

Crystalline TcGe2Sb at its relaxed geometry (PBE-GGA, Alexandria via LeMat-Bulk).

As for the raw formation energy: 0.501 eV per atom. Its crystal system is tetragonal.

a = 7.361 Å, b = 7.361 Å, c = 7.361 Å
α = 133.01°, β = 133.01°, γ = 68.63°
Fractional coordinates of all 8 atoms:
Tc: 0.000 0.000 0.000
Tc: 0.750 0.250 0.500
Ge: 0.073 0.625 0.948
Ge: 0.375 0.323 0.448
Ge: 0.677 0.125 0.052
Ge: 0.875 0.927 0.552
Sb: 0.250 0.750 0.500
Sb: 0.500 0.500 0.000

---

3.
# TcGeSb

Crystalline TcGeSb at its relaxed geometry (PBE-GGA, Alexandria via LeMat-Bulk).

As for the raw formation energy: 0.159 eV per atom. Its crystal system is monoclinic. The energy above the most stable polymorph in this dataset is 136.7 meV/atom.

a = 4.538 Å, b = 4.538 Å, c = 5.982 Å
α = 102.35°, β = 102.35°, γ = 97.78°
Fractional coordinates of all 6 atoms:
Tc: 0.000 0.500 0.000
Tc: 0.500 0.000 0.500
Ge: 0.028 0.972 0.750
Ge: 0.972 0.028 0.250
Sb: 0.442 0.558 0.750
Sb: 0.558 0.442 0.250

---

4.
# Tc2Ge2Sb

Crystalline Tc2Ge2Sb at its relaxed geometry (PBE-GGA, Alexandria via LeMat-Bulk).

As for the raw formation energy: 0.065 eV per atom. Its crystal system is tetragonal. The energy above the most stable polymorph in this dataset is 0.0 meV/atom.

a = 6.968 Å, b = 6.968 Å, c = 6.968 Å
α = 149.77°, β = 149.77°, γ = 43.28°
Fractional coordinates of all 5 atoms:
Tc: 0.110 0.110 0.000
Tc: 0.890 0.890 0.000
Ge: 0.250 0.750 0.500
Ge: 0.750 0.250 0.500
Sb: 0.500 0.500 0.000